The following is a DFT calculation (PBE) of an optimized crystal structure of Cs2NiOsSe.

POSCAR file:
```
Cs2NiOsSe
1.0
6.340 0.000 0.000
0.000 6.340 0.000
0.000 0.000 4.430
Cs Ni Os Se
2 1 1 1
direct
0.000 0.500 0.000 Cs
0.500 0.000 0.000 Cs
0.000 0.000 0.000 Ni
0.000 0.000 0.500 Os
0.500 0.500 0.500 Se
```

Results
Total DFT energy (no corrections)   -17.5 eV for the cell shown
SG   No. 123
Magnetic moment   0.626 μB per atom